AlNi3Pt12: optimized geometry, PBE.

Cell and atoms, written as POSCAR:
```
AlNi3Pt12
1.0
3.8909 0.0000 0.0000
0.0000 3.8909 0.0000
0.0000 0.0000 15.5989
Al Ni Pt
1 3 12
direct
0.0000 0.0000 0.0000
0.0000 0.0000 0.2529
0.0000 0.0000 0.5000
0.0000 0.0000 0.7471
0.5000 0.5000 0.0000
0.5000 0.5000 0.2506
0.5000 0.5000 0.5000
0.5000 0.5000 0.7494
0.5000 0.0000 0.1258
0.5000 0.0000 0.3758
0.5000 0.0000 0.6242
0.5000 0.0000 0.8742
0.0000 0.5000 0.1258
0.0000 0.5000 0.3758
0.0000 0.5000 0.6242
0.0000 0.5000 0.8742
```

- Raw total energy: -6.072 eV/atom
- Space-group type: P4/mmm, No. 123
- Formation energy from the elements: -3.57 eV/f.u.

Dy2PaTaN4: optimized geometry, PBE.

Cell and atoms, written as POSCAR:
```
Dy2PaTaN4
1.0
-2.6693 -1.3483 -1.5516
3.5506 -3.1711 -3.3526
-1.2754 -3.0595 4.8527
Dy Pa Ta N
2 1 1 4
direct
0.5000 0.0000 0.5000
0.0000 0.5000 0.5000
0.5000 0.5000 0.0000
0.0000 0.0000 0.0000
0.5000 0.2308 0.2232
0.5000 0.7692 0.7768
0.0000 0.2414 0.7665
0.0000 0.7586 0.2335
```

- Raw total energy: -9.483 eV/atom
- ΔE_f (raw): -1.502 eV per atom
- Space-group type: P2/m, No. 10

Ho2Mg3Cu4: optimized geometry, PBE.

Cell and atoms, written as POSCAR:
```
Ho2Mg3Cu4
1.0
-4.3090 -3.4593 -1.6844
4.4606 -3.5274 -4.1666
3.9079 -3.5411 7.1815
Ho Mg Cu
4 6 8
direct
0.0983 0.5956 0.1966
0.9017 0.4044 0.8034
0.4017 0.0956 0.8034
0.5983 0.9044 0.1966
0.0000 0.0000 0.0000
0.5000 0.5000 0.0000
0.5126 0.7500 0.5252
0.9874 0.2500 0.4748
0.4874 0.2500 0.4748
0.0126 0.7500 0.5252
0.6746 0.7500 0.8493
0.8254 0.2500 0.1507
0.3254 0.2500 0.1507
0.1746 0.7500 0.8493
0.1559 0.9867 0.3118
0.8441 0.0133 0.6882
0.3441 0.4867 0.6882
0.6559 0.5133 0.3118
```

- Raw total energy: -3.497 eV/atom
- Space-group type: Cmce, No. 64
- Formation energy from the elements: -1.15 eV/f.u.

Pr7SmHo12: optimized geometry, PBE.

Cell and atoms, written as POSCAR:
```
Pr7SmHo12
1.0
-7.5222 1.5368 -6.1094
8.3872 -0.0684 -5.0913
-1.1600 -8.6373 4.5081
Pr Sm Ho
7 1 12
direct
0.5000 0.5000 0.0000
0.0000 0.5000 0.5000
0.5000 0.0000 0.5000
0.5000 0.5000 0.5000
0.0000 0.0000 0.5000
0.5000 0.0000 0.0000
0.0000 0.5000 0.0000
0.0000 0.0000 0.0000
0.5035 0.7514 0.7521
0.9993 0.7514 0.2479
0.4965 0.2486 0.2479
0.0007 0.2486 0.7521
0.7521 0.0007 0.2486
0.7521 0.5035 0.7514
0.2479 0.9993 0.7514
0.2479 0.4965 0.2486
0.7514 0.7521 0.5035
0.2486 0.2479 0.4965
0.7514 0.2479 0.9993
0.2486 0.7521 0.0007
```

- Raw total energy: -4.026 eV/atom
- Space-group type: Im-3, No. 204
- Polymorph energy (0 for the lowest one): 8.04 eV per formula unit
- Formation energy from the elements: 12.60 eV/f.u.

Ac2TmMg12Hg3: optimized geometry, PBE.

Cell and atoms, written as POSCAR:
```
Ac2TmMg12Hg3
1.0
-9.1987 0.1624 -2.5894
-6.9557 -4.9726 4.2707
-7.0560 3.8379 5.1799
Ac Tm Mg Hg
2 1 12 3
direct
0.5831 0.5831 0.5831
0.4169 0.4169 0.4169
0.0000 0.0000 0.0000
0.2216 0.2216 0.8669
0.8292 0.8292 0.4529
0.4529 0.8292 0.8292
0.8669 0.2216 0.2216
0.8292 0.4529 0.8292
0.2216 0.8669 0.2216
0.7784 0.7784 0.1331
0.1708 0.1708 0.5471
0.5471 0.1708 0.1708
0.1331 0.7784 0.7784
0.1708 0.5471 0.1708
0.7784 0.1331 0.7784
0.5000 0.0000 0.0000
0.0000 0.5000 0.0000
0.0000 0.0000 0.5000
```

- Raw total energy: -1.665 eV/atom
- Space-group type: R-3m, No. 166
- Formation energy from the elements: 2.76 eV/f.u.

LaOs2RhCl: optimized geometry, PBE.

Cell and atoms, written as POSCAR:
```
LaOs2RhCl
1.0
-4.3240 1.0268 0.6530
0.2264 -1.7723 4.2858
1.1970 4.0229 1.6004
Rh Cl Os La
1 1 2 1
direct
0.0000 0.5000 0.0000
0.0000 0.0000 0.0000
0.0000 0.0000 0.5000
0.5000 0.0000 0.0000
0.5000 0.5000 0.5000
```

- Raw total energy: -6.442 eV/atom
- ΔE_f (raw): 0.875 eV per atom
- Space-group type: P4/mmm, No. 123

CaCrBiW2: optimized geometry, PBE.

Cell and atoms, written as POSCAR:
```
CaCrBiW2
1.0
-3.7528 2.6324 0.8491
-1.3221 -3.1307 3.8627
2.4931 2.5994 2.9601
Cr Ca Bi W
1 1 1 2
direct
0.0000 0.0000 0.0000
0.5000 0.5000 0.5000
0.0000 0.5000 0.0000
0.0000 0.0000 0.5000
0.5000 0.0000 0.0000
```

- Raw total energy: -7.079 eV/atom
- Space-group type: P4/mmm, No. 123
- Formation energy from the elements: 6.02 eV/f.u.

Ta2Br: optimized geometry, PBE.

Cell and atoms, written as POSCAR:
```
Ta2Br
1.0
4.3056 0.0000 0.0000
0.0000 4.6759 0.0000
0.0000 0.0000 6.1373
Ta Br
4 2
direct
0.0000 0.2351 0.6298
0.0000 0.7649 0.3702
0.5000 0.7351 0.8702
0.5000 0.2649 0.1298
0.0000 0.0000 0.0000
0.5000 0.5000 0.5000
```

- Raw total energy: -7.210 eV/atom
- ΔE_f (raw): 1.249 eV per atom
- Space-group type: Pnnm, No. 58
- Polymorph energy (0 for the lowest one): 3.67 eV per formula unit

ZrSc2Ni2: optimized geometry, PBE.

Cell and atoms, written as POSCAR:
```
ZrSc2Ni2
1.0
4.3177 0.0000 0.0000
0.0000 5.5639 -0.3034
0.0000 -2.3639 7.7652
Zr Sc Ni
2 4 4
direct
0.2500 0.7241 0.2450
0.7500 0.2759 0.7550
0.2500 0.7944 0.8718
0.7500 0.2056 0.1282
0.2500 0.3066 0.4573
0.7500 0.6934 0.5427
0.2500 0.9622 0.6004
0.7500 0.0378 0.3996
0.2500 0.3321 0.9545
0.7500 0.6679 0.0455
```

- Raw total energy: -6.889 eV/atom
- Space-group type: P2_1/m, No. 11
- Polymorph energy (0 for the lowest one): 0.03 eV per formula unit
- Formation energy from the elements: -1.67 eV/f.u.

CsSc2Te: optimized geometry, PBE.

Cell and atoms, written as POSCAR:
```
CsSc2Te
1.0
-8.4795 7.0740 0.5592
-5.6929 9.2183 2.2068
-6.0333 9.1159 -1.6599
Cs Sc Te
1 2 1
direct
0.0000 0.0000 0.0000
0.8883 0.8883 0.8883
0.1117 0.1117 0.1117
0.5000 0.5000 0.5000
```

- Raw total energy: -4.247 eV/atom
- ΔE_f (raw): -0.083 eV per atom
- Space-group type: R-3m, No. 166

Ac6Ir2RhBr3: optimized geometry, PBE.

Cell and atoms, written as POSCAR:
```
Ac6Ir2RhBr3
1.0
7.5450 -0.0008 0.0009
-3.7713 6.5349 0.0009
-1.2576 -2.1775 8.2711
Ac Ir Rh Br
6 2 1 3
direct
0.9355 0.6011 0.8063
0.7301 0.7301 0.1938
0.0645 0.3989 0.1937
0.6011 0.9355 0.8063
0.2699 0.2699 0.8062
0.3989 0.0645 0.1937
0.3334 0.6666 0.0000
0.6666 0.3334 0.0000
0.0000 0.0000 0.0000
0.1667 0.8333 0.5000
0.8333 0.1667 0.5000
0.5000 0.5000 0.5000
```

- Raw total energy: -5.750 eV/atom
- ΔE_f (raw): -1.188 eV per atom
- Space-group type: C2/m, No. 12

P2RuCS: optimized geometry, PBE.

Cell and atoms, written as POSCAR:
```
P2RuCS
1.0
-2.5622 -0.2186 -2.9790
0.0723 -4.3097 0.2540
-2.9863 0.1009 2.5611
Ru S C P
1 1 1 2
direct
0.0000 0.5000 0.0000
0.5000 0.5000 0.5000
0.0000 0.0000 0.0000
0.0000 0.0000 0.5000
0.5000 0.0000 0.0000
```

- Raw total energy: -5.526 eV/atom
- ΔE_f (raw): 1.164 eV per atom
- Space-group type: P4/mmm, No. 123
- Polymorph energy (0 for the lowest one): 0.43 eV per formula unit

Nd2DyRh9: optimized geometry, PBE.

Cell and atoms, written as POSCAR:
```
Nd2DyRh9
1.0
5.2920 0.0000 0.0000
2.6460 4.5830 0.0000
2.6460 1.5277 8.8906
Nd Dy Rh
2 1 9
direct
0.8614 0.8614 0.4158
0.1386 0.1386 0.5842
0.0000 0.0000 0.0000
0.6672 0.6672 0.9984
0.3328 0.3328 0.0016
0.5000 0.5000 0.5000
0.4194 0.4194 0.2432
0.9181 0.4194 0.2432
0.4194 0.9181 0.2432
0.5806 0.5806 0.7568
0.5806 0.0819 0.7568
0.0819 0.5806 0.7568
```

- Raw total energy: -7.204 eV/atom
- Space-group type: R-3m, No. 166
- Formation energy from the elements: -6.15 eV/f.u.

ScCd2OsPt: optimized geometry, PBE.

Cell and atoms, written as POSCAR:
```
ScCd2OsPt
1.0
-3.0932 3.9551 0.9962
-2.2446 -0.7101 -4.1500
-3.2918 -3.1591 2.3210
Sc Os Pt Cd
1 1 1 2
direct
0.0000 0.5000 0.0000
0.0000 0.0000 0.0000
0.5000 0.5000 0.5000
0.0000 0.0000 0.5000
0.5000 0.0000 0.0000
```

- Raw total energy: -4.357 eV/atom
- Space-group type: P4/mmm, No. 123
- Formation energy from the elements: 3.65 eV/f.u.

CaGdHoTm: optimized geometry, PBE.

Cell and atoms, written as POSCAR:
```
CaGdHoTm
1.0
5.7205 0.0000 0.0000
2.8602 4.9541 0.0000
2.8602 1.6514 4.6707
Gd Ca Tm Ho
1 1 1 1
direct
0.0000 0.0000 0.0000
0.2500 0.2500 0.2500
0.7500 0.7500 0.7500
0.5000 0.5000 0.5000
```

- Raw total energy: -6.128 eV/atom
- Space-group type: F-43m, No. 216
- Formation energy from the elements: 0.62 eV/f.u.

CdFeCu2: optimized geometry, PBE.

Cell and atoms, written as POSCAR:
```
CdFeCu2
1.0
4.4898 -0.0002 0.0000
0.8210 4.4141 0.0000
-2.6554 -2.2069 2.8700
Cd Cu Fe
1 2 1
direct
0.7500 0.2500 0.5000
0.0000 0.0000 0.0000
0.5000 0.5000 0.0000
0.2500 0.7500 0.5000
```

- Raw total energy: -4.141 eV/atom
- Space-group type: I4/mmm, No. 139
- Formation energy from the elements: 1.01 eV/f.u.

PmTcClO4: optimized geometry, PBE.

Cell and atoms, written as POSCAR:
```
PmTcClO4
1.0
-2.4684 -1.7095 -5.6769
4.4489 0.5440 -4.5993
2.2445 -6.5860 -0.6345
Pm Tc Cl O
2 2 2 8
direct
0.2189 0.2189 0.8965
0.7811 0.7811 0.1035
0.6343 0.6343 0.7202
0.3657 0.3657 0.2798
0.0116 0.0116 0.2353
0.9884 0.9884 0.7647
0.2845 0.2845 0.5310
0.7155 0.7155 0.4690
0.1234 0.4831 0.1459
0.5374 0.5374 0.2161
0.5169 0.8766 0.8541
0.4831 0.1234 0.1459
0.4626 0.4626 0.7839
0.8766 0.5169 0.8541
```

- Raw total energy: -7.320 eV/atom
- ΔE_f (raw): -2.064 eV per atom
- Space-group type: C2/m, No. 12

TlSeBrO4: optimized geometry, PBE.

Cell and atoms, written as POSCAR:
```
TlSeBrO4
1.0
6.0451 -0.6514 -0.4202
1.3877 5.9196 -0.4202
1.1351 0.8045 8.1868
Tl Se Br O
2 2 2 8
direct
0.2432 0.2432 0.8966
0.7568 0.7568 0.1034
0.6311 0.6311 0.7718
0.3689 0.3689 0.2282
0.9771 0.9771 0.2644
0.0229 0.0229 0.7356
0.2654 0.2654 0.3966
0.7346 0.7346 0.6034
0.1723 0.4923 0.0988
0.5471 0.5471 0.2677
0.5077 0.8277 0.9012
0.4923 0.1723 0.0988
0.4529 0.4529 0.7323
0.8277 0.5077 0.9012
```

- Raw total energy: -4.424 eV/atom
- ΔE_f (raw): -0.516 eV per atom
- Space-group type: C2/m, No. 12

TlV2Br2: optimized geometry, PBE.

Cell and atoms, written as POSCAR:
```
TlV2Br2
1.0
3.5170 0.0000 0.0000
0.0000 3.5170 0.0000
1.7585 1.7585 10.1055
Tl Br V
1 2 2
direct
0.0000 0.0000 0.0000
0.3460 0.3460 0.3081
0.6540 0.6540 0.6919
0.7500 0.2500 0.5000
0.2500 0.7500 0.5000
```

- Raw total energy: -4.790 eV/atom
- ΔE_f (raw): 0.000 eV per atom
- Space-group type: I4/mmm, No. 139
- Polymorph energy (0 for the lowest one): 0.00 eV per formula unit

ZrMn2Cu: optimized geometry, PBE.

Cell and atoms, written as POSCAR:
```
ZrMn2Cu
1.0
-1.5943 -1.4942 -4.4230
-0.2954 -4.3728 -2.2646
-3.5186 -1.4981 0.1194
Cu Mn Zr
1 2 1
direct
0.2500 0.2500 0.2500
0.0000 0.0000 0.0000
0.7500 0.7500 0.7500
0.5000 0.5000 0.5000
```

- Raw total energy: -7.678 eV/atom
- Space-group type: I-4m2, No. 119
- Formation energy from the elements: 0.27 eV/f.u.